A relaxed structure of ScAlSe2. Source: Alexandria, functional PBE-GGA.

a b c (Å): 3.825 5.931 5.931
angles (deg): 37.15 90.00 90.00
Element x y z (fractional)
Sc 0.000 0.000 0.000
Al 0.500 0.197 0.197
Se 0.000 0.687 0.687
Se 0.500 0.416 0.416

formation energy without anion corrections = -1.1032 eV per atom
crystal system = orthorhombic
uncorrected energy = -5.364 eV/atom

---

A relaxed structure of CuSb. Source: Alexandria, functional PBE-GGA.

a b c (Å): 3.265 3.265 3.804
angles (deg): 90.00 90.00 103.86
Element x y z (fractional)
Cu 0.000 0.000 0.000
Sb 0.500 0.500 0.500

formation energy without anion corrections = 0.2902 eV per atom
crystal system = orthorhombic
uncorrected energy = -3.819 eV/atom

---

A relaxed structure of Ba3In4Ga2. Source: Alexandria, functional PBE-GGA.

a b c (Å): 5.133 5.133 25.351
angles (deg): 90.00 90.00 120.00
Element x y z (fractional)
Ba 0.000 0.000 0.000
Ba 0.000 0.000 0.156
Ba 0.000 0.000 0.328
Ba 0.000 0.000 0.492
Ba 0.000 0.000 0.664
Ba 0.000 0.000 0.829
In 0.333 0.667 0.257
In 0.333 0.667 0.400
In 0.333 0.667 0.592
In 0.333 0.667 0.736
In 0.333 0.667 0.928
In 0.667 0.333 0.228
In 0.667 0.333 0.564
In 0.667 0.333 0.900
Ga 0.333 0.667 0.064
Ga 0.667 0.333 0.092
Ga 0.667 0.333 0.428
Ga 0.667 0.333 0.764

crystal system = trigonal
uncorrected energy = -2.958 eV/atom
formation energy = -426.9 meV/atom